No. 1
First-principles (PBE) data for an optimized crystal structure of ZrTi2Cr, as listed in the Alexandria database.

It has space group Fm-3m (No. 225), with a = 6.442 Å, b = 6.442 Å, c = 6.442 Å, α = 90.00°, β = 90.00° and γ = 90.00°. The inequivalent atoms are Zr at (0.000, 0.000, 0.000), Ti at (0.250, 0.250, 0.250) and Cr at (0.000, 0.000, 0.500).

The value obtained for the calculated density is 5.94 g cm⁻³. Its formation energy from the elements is 237.7 meV/atom. The energy relative to the lowest polymorph listed for this composition comes out at 0.1871 eV per atom.

No. 2
First-principles (PBE) data for an optimized crystal structure of YCd2Os, as listed in the Alexandria database.

It has space group C2/m (No. 12), with a = 5.717 Å, b = 10.613 Å, c = 3.299 Å, α = 90.00°, β = 122.35° and γ = 90.00°. The inequivalent atoms are Y at (0.000, 0.000, 0.000), Cd at (0.250, 0.250, 0.500) and Os at (0.000, 0.500, 0.000).

The value obtained for the calculated density is 9.90 g cm⁻³. Its formation energy from the elements is 290.9 meV/atom.

No. 3
First-principles (PBE) data for an optimized crystal structure of PrCd10Cu2, as listed in the Alexandria database.

It has space group Fmmm (No. 69), with a = 5.610 Å, b = 14.035 Å, c = 14.072 Å, α = 90.00°, β = 90.00° and γ = 90.00°. The inequivalent atoms are Pr at (0.000, 0.000, 0.000), Cd at (0.000, 0.113, 0.398), Cd at (0.000, 0.181, 0.165), Cd at (0.250, 0.000, 0.250) and Cu at (0.250, 0.250, 0.000).

The value obtained for the calculated density is 8.35 g cm⁻³. Its formation energy from the elements is -105.4 meV/atom.

No. 4
First-principles (PBE) data for an optimized crystal structure of Y2ZrBiB, as listed in the Alexandria database.

It has space group P4/mmm (No. 123), with a = 5.696 Å, b = 5.696 Å, c = 4.296 Å, α = 90.00°, β = 90.00° and γ = 90.00°. The inequivalent atoms are Y at (0.000, 0.500, 0.000), Zr at (0.000, 0.000, 0.000), Bi at (0.500, 0.500, 0.500) and B at (0.000, 0.000, 0.500).

The value obtained for the calculated density is 5.83 g cm⁻³. Its formation energy from the elements is 725.2 meV/atom.